Model w:
Compound: HfCd2Au
Source: the Alexandria database
Functional: GGA-PBE
Structure: optimized geometry

abc: 3.0297 3.0297 32.6252
angles: 90.00 90.00 120.00
Space group R-3m (No. 166, hexagonal axes)
Symmetry-distinct sites (fractional):
Hf1 0.0000 0.0000 0.0000 [3 per cell]
Cd1 0.0000 0.0000 0.0919 [6 per cell]
Au1 0.0000 0.0000 0.5000 [3 per cell]

Summary:
Fermi-level density of states	0.60	states/eV per atom
total moment	0.000	μB per formula unit



Model x:
Compound: HfCd2Au
Source: the Alexandria database
Functional: GGA-PBE
Structure: optimized geometry

abc: 6.833 6.833 6.833
angles: 90.00 90.00 90.00
Space group Fm-3m (No. 225)
Symmetry-distinct sites (fractional):
Hf1 0.000 0.000 0.000 [4 per cell]
Cd1 0.250 0.250 0.250 [8 per cell]
Au1 0.000 0.000 0.500 [4 per cell]

Summary:
Fermi-level density of states	0.73	states/eV per atom
total moment	0.000	μB per formula unit



It is model x that is most stable; the runner-up trails by 0.194 eV/atom.



Model w:
Compound: HfCd2Au
Source: the Alexandria database
Functional: GGA-PBE
Structure: optimized geometry

abc: 3.1198 3.1198 29.5078
angles: 90.00 90.00 120.00
Space group R3m (No. 160, hexagonal axes)
Symmetry-distinct sites (fractional):
Hf1 0.0000 0.0000 0.0000 [3 per cell]
Cd1 0.0000 0.0000 0.2463 [3 per cell]
Cd2 0.0000 0.0000 0.4205 [3 per cell]
Au1 0.0000 0.0000 0.8331 [3 per cell]

Summary:
Fermi-level density of states	0.78	states/eV per atom
total moment	0.000	μB per formula unit



Model x:
Compound: HfCd2Au
Source: the Alexandria database
Functional: GGA-PBE
Structure: optimized geometry

abc: 7.924 7.924 5.699
angles: 90.00 90.00 90.00
Space group I-42d (No. 122)
Symmetry-distinct sites (fractional):
Hf1 0.000 0.000 0.000 [4 per cell]
Cd1 0.230 0.250 0.625 [8 per cell]
Au1 0.000 0.000 0.500 [4 per cell]

Summary:
Fermi-level density of states	0.79	states/eV per atom
total moment	0.000	μB per formula unit



It is model w that is most stable; the runner-up trails by 0.183 eV/atom.



Model w:
Compound: Hf2Cd2Au
Source: the Alexandria database
Functional: GGA-PBE
Structure: optimized geometry

abc: 7.140 7.140 4.578
angles: 90.00 90.00 90.00
Space group P4/mbm (No. 127)
Symmetry-distinct sites (fractional):
Hf1 0.149 0.351 0.000 [4 per cell]
Cd1 0.152 0.652 0.500 [4 per cell]
Au1 0.000 0.000 0.000 [2 per cell]

Summary:
Fermi-level density of states	1.08	states/eV per atom
total moment	0.000	μB per formula unit



Model x:
Compound: Hf2Cd2Au
Source: the Alexandria database
Functional: GGA-PBE
Structure: optimized geometry

abc: 3.993 3.993 14.442
angles: 90.00 90.00 90.00
Space group I4/mmm (No. 139)
Symmetry-distinct sites (fractional):
Hf1 0.000 0.500 0.250 [4 per cell]
Cd1 0.000 0.000 0.093 [4 per cell]
Au1 0.000 0.000 0.500 [2 per cell]

Summary:
Fermi-level density of states	1.02	states/eV per atom
total moment	0.000	μB per formula unit



Model y:
Compound: Hf2Cd2Au
Source: the Alexandria database
Functional: GGA-PBE
Structure: optimized geometry

abc: 7.084 7.084 4.205
angles: 90.00 90.00 90.00
Space group P4/mbm (No. 127)
Symmetry-distinct sites (fractional):
Hf1 0.166 0.334 0.000 [4 per cell]
Cd1 0.137 0.637 0.500 [4 per cell]
Au1 0.000 0.000 0.500 [2 per cell]

Summary:
Fermi-level density of states	0.57	states/eV per atom
total moment	0.000	μB per formula unit



Model z:
Compound: Hf2Cd2Au
Source: the Alexandria database
Functional: GGA-PBE
Structure: optimized geometry

abc: 3.812 3.812 15.761
angles: 90.00 90.00 90.00
Space group I4/mmm (No. 139)
Symmetry-distinct sites (fractional):
Hf1 0.000 0.000 0.090 [4 per cell]
Cd1 0.000 0.500 0.250 [4 per cell]
Au1 0.000 0.000 0.500 [2 per cell]

Summary:
Fermi-level density of states	1.25	states/eV per atom
total moment	1.510	μB per formula unit



It is model y that is most stable; the runner-up trails by 0.126 eV/atom.